[1]
Here is a relaxed structure of Mg2Br from Alexandria. Energies are from GGA-PBE.

The structure in POSCAR format:
```
Mg2Br
1.0
5.806 0.000 0.000
-2.903 5.028 0.000
0.000 0.000 11.201
Mg Br
8 4
direct
0.000 0.000 0.000 Mg
0.000 0.000 0.500 Mg
0.166 0.332 0.250 Mg
0.166 0.834 0.250 Mg
0.332 0.166 0.750 Mg
0.668 0.834 0.250 Mg
0.834 0.166 0.750 Mg
0.834 0.668 0.750 Mg
0.333 0.667 0.595 Br
0.333 0.667 0.905 Br
0.667 0.333 0.095 Br
0.667 0.333 0.405 Br
```

Computed properties:
- DOS(E_F): 0.7 states/eV/f.u.
- Excess energy over the best structure of this formula in the dataset: 0.85 eV per formula unit
- Formation energy (no corrections): -231 meV per atom
- Calculated volume: 27.25 Å³ per atom



[2]
Here is a relaxed structure of Li2ScSiHg from Alexandria. Energies are from GGA-PBE.

The structure in POSCAR format:
```
Li2ScSiHg
1.0
4.730 0.000 0.000
0.000 4.730 0.000
0.000 0.000 5.147
Li Sc Si Hg
2 1 1 1
direct
0.000 0.500 0.000 Li
0.500 0.000 0.000 Li
0.000 0.000 0.500 Sc
0.000 0.000 0.000 Si
0.500 0.500 0.500 Hg
```

Computed properties:
- DOS(E_F): 3.3 states/eV/f.u.
- Formation energy (no corrections): -57 meV per atom
- Calculated volume: 23.03 Å³ per atom



[3]
Here is a relaxed structure of PaCuTc2 from Alexandria. Energies are from GGA-PBE.

The structure in POSCAR format:
```
PaCuTc2
1.0
0.000 3.204 3.204
3.204 0.000 3.204
3.204 3.204 0.000
Pa Cu Tc
1 1 2
direct
0.000 0.000 0.000 Pa
0.500 0.500 0.500 Cu
0.250 0.250 0.250 Tc
0.750 0.750 0.750 Tc
```

Computed properties:
- DOS(E_F): 5.7 states/eV/f.u.
- Excess energy over the best structure of this formula in the dataset: 0.59 eV per formula unit
- Formation energy from the elements: 56.8 meV per atom
- Calculated volume: 16.45 Å³ per atom



[4]
Here is a relaxed structure of RbCu2H3Se2O10 from Alexandria. Energies are from GGA-PBE.

The structure in POSCAR format:
```
RbCu2H3Se2O10
1.0
4.654 -3.302 0.000
4.654 3.302 0.000
-3.736 0.000 7.442
Rb Cu H Se O
1 2 3 2 10
direct
0.000 0.000 0.000 Rb
0.000 0.500 0.500 Cu
0.500 0.000 0.500 Cu
0.000 0.000 0.500 H
0.192 0.192 0.693 H
0.808 0.808 0.307 H
0.433 0.433 0.226 Se
0.567 0.567 0.774 Se
0.148 0.148 0.562 O
0.238 0.661 0.718 O
0.320 0.320 0.007 O
0.320 0.320 0.337 O
0.339 0.762 0.282 O
0.661 0.238 0.718 O
0.680 0.680 0.663 O
0.680 0.680 0.993 O
0.762 0.339 0.282 O
0.852 0.852 0.438 O
```

Computed properties:
- Total DFT energy (no corrections): -5.062 eV per atom
- Calculated volume: 12.71 Å³ per atom



[5]
Here is a relaxed structure of CsCd4Hg2 from Alexandria. Energies are from GGA-PBE.

The structure in POSCAR format:
```
CsCd4Hg2
1.0
2.334 -10.073 0.000
2.334 10.073 0.000
0.000 0.000 4.530
Cs Cd Hg
1 4 2
direct
0.000 0.000 0.000 Cs
0.192 0.808 0.500 Cd
0.304 0.696 0.000 Cd
0.696 0.304 0.000 Cd
0.808 0.192 0.500 Cd
0.409 0.591 0.500 Hg
0.591 0.409 0.500 Hg
```

Computed properties:
- DOS(E_F): 3.1 states/eV/f.u.
- Formation energy from the elements: -82.6 meV per atom
- Calculated volume: 30.43 Å³ per atom



[6]
Here is a relaxed structure of SbMo from Alexandria. Energies are from GGA-PBE.

The structure in POSCAR format:
```
SbMo
1.0
3.500 0.000 0.000
0.000 3.500 0.000
0.000 0.000 6.289
Sb Mo
2 2
direct
0.250 0.250 0.167 Sb
0.750 0.750 0.833 Sb
0.250 0.250 0.645 Mo
0.750 0.750 0.355 Mo
```

Computed properties:
- DOS(E_F): 1.2 states/eV/f.u.
- Formation energy (no corrections): 228 meV per atom
- Calculated volume: 19.26 Å³ per atom



[7]
Here is a relaxed structure of Zn4NiPb from Alexandria. Energies are from GGA-PBE.

The structure in POSCAR format:
```
Zn4NiPb
1.0
0.000 3.690 3.690
3.690 0.000 3.690
3.690 3.690 0.000
Zn Ni Pb
4 1 1
direct
0.377 0.377 0.377 Zn
0.377 0.377 0.870 Zn
0.377 0.870 0.377 Zn
0.870 0.377 0.377 Zn
0.750 0.750 0.750 Ni
0.000 0.000 0.000 Pb
```

Computed properties:
- DOS(E_F): 0.8 states/eV/f.u.
- Formation energy from the elements: 153.4 meV per atom
- Calculated volume: 16.74 Å³ per atom



[8]
Here is a relaxed structure of Rb3HBr2 from Alexandria. Energies are from GGA-PBE.

The structure in POSCAR format:
```
Rb3HBr2
1.0
-2.351 3.423 7.183
2.351 -3.423 7.183
2.351 3.423 -7.183
Rb H Br
3 1 2
direct
0.000 0.000 0.000 Rb
0.352 0.352 0.000 Rb
0.648 0.648 0.000 Rb
0.500 0.000 0.500 H
0.171 0.671 0.500 Br
0.829 0.329 0.500 Br
```

Computed properties:
- DOS(E_F): 0.0 states/eV/f.u.
- Total DFT energy (no corrections): -2.798 eV per atom
- Calculated volume: 38.53 Å³ per atom



[9]
Here is a relaxed structure of TiAs2SeO from Alexandria. Energies are from GGA-PBE.

The structure in POSCAR format:
```
TiAs2SeO
1.0
4.228 0.000 0.000
0.000 4.228 0.000
0.000 0.000 4.694
Ti As Se O
1 2 1 1
direct
0.000 0.000 0.000 Ti
0.000 0.500 0.500 As
0.500 0.000 0.500 As
0.500 0.500 0.000 Se
0.500 0.500 0.500 O
```

Computed properties:
- DOS(E_F): 4.1 states/eV/f.u.
- Excess energy over the best structure of this formula in the dataset: 0.00 eV per formula unit
- Formation energy (no corrections): 17 meV per atom
- Calculated volume: 16.78 Å³ per atom



[10]
Here is a relaxed structure of Pr15DyHo4 from Alexandria. Energies are from GGA-PBE.

The structure in POSCAR format:
```
Pr15DyHo4
1.0
5.195 0.000 0.000
0.000 5.195 0.000
0.000 0.000 25.837
Pr Dy Ho
15 1 4
direct
0.000 0.000 0.000 Pr
0.000 0.000 0.200 Pr
0.000 0.000 0.400 Pr
0.000 0.000 0.600 Pr
0.000 0.000 0.800 Pr
0.000 0.500 0.100 Pr
0.000 0.500 0.300 Pr
0.000 0.500 0.500 Pr
0.000 0.500 0.700 Pr
0.000 0.500 0.900 Pr
0.500 0.000 0.100 Pr
0.500 0.000 0.300 Pr
0.500 0.000 0.500 Pr
0.500 0.000 0.700 Pr
0.500 0.000 0.900 Pr
0.500 0.500 0.000 Dy
0.500 0.500 0.200 Ho
0.500 0.500 0.400 Ho
0.500 0.500 0.600 Ho
0.500 0.500 0.800 Ho
```

Computed properties:
- DOS(E_F): 27.2 states/eV/f.u.
- Formation energy from the elements: 9.8 meV per atom
- Calculated volume: 34.86 Å³ per atom



[11]
Here is a relaxed structure of Cr3BiPb from Alexandria. Energies are from GGA-PBE.

The structure in POSCAR format:
```
Cr3BiPb
1.0
5.225 0.000 0.000
0.000 5.225 0.000
0.000 0.000 5.225
Cr Bi Pb
3 1 1
direct
0.000 0.000 0.500 Cr
0.000 0.500 0.000 Cr
0.500 0.000 0.000 Cr
0.000 0.000 0.000 Bi
0.500 0.500 0.500 Pb
```

Computed properties:
- DOS(E_F): 4.3 states/eV/f.u.
- Excess energy over the best structure of this formula in the dataset: 0.00 eV per formula unit
- Formation energy from the elements: 1197.3 meV per atom
- Calculated volume: 28.53 Å³ per atom



[12]
Here is a relaxed structure of CaPr5Sm3 from Alexandria. Energies are from GGA-PBE.

The structure in POSCAR format:
```
CaPr5Sm3
1.0
8.253 -3.493 0.000
8.253 3.493 0.000
-3.738 0.000 11.364
Ca Pr Sm
2 10 6
direct
0.226 0.774 0.750 Ca
0.774 0.226 0.250 Ca
0.062 0.293 0.866 Pr
0.293 0.062 0.366 Pr
0.313 0.687 0.250 Pr
0.386 0.398 0.455 Pr
0.398 0.386 0.955 Pr
0.602 0.614 0.045 Pr
0.614 0.602 0.545 Pr
0.687 0.313 0.750 Pr
0.707 0.938 0.634 Pr
0.938 0.707 0.134 Pr
0.000 0.000 0.000 Sm
0.000 0.000 0.500 Sm
0.148 0.366 0.633 Sm
0.366 0.148 0.133 Sm
0.634 0.852 0.867 Sm
0.852 0.634 0.367 Sm
```

Computed properties:
- DOS(E_F): 12.1 states/eV/f.u.
- Excess energy over the best structure of this formula in the dataset: 0.00 eV per formula unit
- Formation energy from the elements: 170.1 meV per atom
- Calculated volume: 36.40 Å³ per atom



[13]
Here is a relaxed structure of TiMnSi2W from Alexandria. Energies are from GGA-PBE.

The structure in POSCAR format:
```
TiMnSi2W
1.0
4.648 0.000 0.000
0.000 4.648 0.000
0.000 0.000 4.782
Ti Mn Si W
1 1 2 1
direct
0.000 0.000 0.000 Ti
0.500 0.500 0.000 Mn
0.000 0.500 0.500 Si
0.500 0.000 0.500 Si
0.500 0.500 0.500 W
```

Computed properties:
- DOS(E_F): 5.0 states/eV/f.u.
- Formation energy (no corrections): 924 meV per atom
- Calculated volume: 20.66 Å³ per atom



[14]
Here is a relaxed structure of Na2TaZnSb from Alexandria. Energies are from GGA-PBE.

The structure in POSCAR format:
```
Na2TaZnSb
1.0
4.909 0.000 0.000
0.000 4.909 0.000
0.000 0.000 5.421
Na Ta Zn Sb
2 1 1 1
direct
0.000 0.500 0.000 Na
0.500 0.000 0.000 Na
0.000 0.000 0.500 Ta
0.500 0.500 0.000 Zn
0.500 0.500 0.500 Sb
```

Computed properties:
- DOS(E_F): 4.7 states/eV/f.u.
- Formation energy (no corrections): 1118 meV per atom
- Calculated volume: 26.13 Å³ per atom



[15]
Here is a relaxed structure of Na2SnGeAu6 from Alexandria. Energies are from GGA-PBE.

The structure in POSCAR format:
```
Na2SnGeAu6
1.0
5.744 0.000 0.000
0.000 8.876 0.000
0.000 0.000 9.337
Na Sn Ge Au
4 2 2 12
direct
0.250 0.004 0.235 Na
0.250 0.496 0.235 Na
0.750 0.504 0.765 Na
0.750 0.996 0.765 Na
0.250 0.250 0.778 Sn
0.750 0.750 0.222 Sn
0.250 0.750 0.753 Ge
0.750 0.250 0.247 Ge
0.000 0.250 0.024 Au
0.000 0.250 0.507 Au
0.000 0.750 0.493 Au
0.000 0.750 0.976 Au
0.250 0.504 0.614 Au
0.250 0.996 0.614 Au
0.500 0.250 0.024 Au
0.500 0.250 0.507 Au
0.500 0.750 0.493 Au
0.500 0.750 0.976 Au
0.750 0.004 0.386 Au
0.750 0.496 0.386 Au
```

Computed properties:
- DOS(E_F): 3.5 states/eV/f.u.
- Formation energy from the elements: -176.8 meV per atom
- Calculated volume: 23.80 Å³ per atom



[16]
Here is a relaxed structure of BaCa2GaCu from Alexandria. Energies are from GGA-PBE.

The structure in POSCAR format:
```
BaCa2GaCu
1.0
5.662 0.000 0.000
0.000 5.662 0.000
0.000 0.000 4.892
Ba Ca Ga Cu
1 2 1 1
direct
0.000 0.000 0.000 Ba
0.000 0.500 0.500 Ca
0.500 0.000 0.500 Ca
0.500 0.500 0.000 Ga
0.500 0.500 0.500 Cu
```

Computed properties:
- DOS(E_F): 3.8 states/eV/f.u.
- Formation energy from the elements: -65.6 meV per atom
- Calculated volume: 31.37 Å³ per atom



[17]
Here is a relaxed structure of Dy2YMg4 from Alexandria. Energies are from GGA-PBE.

The structure in POSCAR format:
```
Dy2YMg4
1.0
2.983 -6.475 0.000
2.983 6.475 0.000
0.000 0.000 5.455
Dy Y Mg
2 1 4
direct
0.132 0.868 0.000 Dy
0.868 0.132 0.000 Dy
0.500 0.500 0.500 Y
0.256 0.744 0.500 Mg
0.382 0.618 0.000 Mg
0.618 0.382 0.000 Mg
0.744 0.256 0.500 Mg
```

Computed properties:
- DOS(E_F): 5.6 states/eV/f.u.
- Excess energy over the best structure of this formula in the dataset: 1.69 eV per formula unit
- Formation energy from the elements: 375.8 meV per atom
- Calculated volume: 30.11 Å³ per atom



[18]
Here is a relaxed structure of KCr2Cl from Alexandria. Energies are from GGA-PBE.

The structure in POSCAR format:
```
KCr2Cl
1.0
0.000 3.865 3.865
3.865 0.000 3.865
3.865 3.865 0.000
K Cr Cl
1 2 1
direct
0.000 0.000 0.000 K
0.250 0.250 0.250 Cr
0.750 0.750 0.750 Cr
0.500 0.500 0.500 Cl
```

Computed properties:
- DOS(E_F): 3.1 states/eV/f.u.
- Excess energy over the best structure of this formula in the dataset: 3.90 eV per formula unit
- Formation energy (no corrections): 981 meV per atom
- Calculated volume: 28.87 Å³ per atom



[19]
Here is a relaxed structure of Cs3HfPb2S6 from Alexandria. Energies are from GGA-PBE.

The structure in POSCAR format:
```
Cs3HfPb2S6
1.0
3.621 -6.260 0.000
3.621 6.260 0.000
-2.395 0.000 7.963
Cs Hf Pb S
3 1 2 6
direct
0.000 0.000 0.000 Cs
0.325 0.675 0.000 Cs
0.675 0.325 0.000 Cs
0.500 0.500 0.500 Hf
0.166 0.834 0.500 Pb
0.834 0.166 0.500 Pb
0.143 0.439 0.318 S
0.267 0.267 0.686 S
0.439 0.143 0.318 S
0.561 0.857 0.682 S
0.733 0.733 0.314 S
0.857 0.561 0.682 S
```

Computed properties:
- DOS(E_F): 5.0 states/eV/f.u.
- Formation energy (no corrections): -1032 meV per atom
- Calculated volume: 30.08 Å³ per atom



[20]
Here is a relaxed structure of Ta2InAgMo from Alexandria. Energies are from GGA-PBE.

The structure in POSCAR format:
```
Ta2InAgMo
1.0
5.015 0.000 0.000
0.000 5.015 0.000
0.000 0.000 4.705
Ta In Ag Mo
2 1 1 1
direct
0.000 0.500 0.000 Ta
0.500 0.000 0.000 Ta
0.000 0.000 0.000 In
0.000 0.000 0.500 Ag
0.500 0.500 0.500 Mo
```

Computed properties:
- DOS(E_F): 5.7 states/eV/f.u.
- Formation energy from the elements: 2207.0 meV per atom
- Calculated volume: 23.67 Å³ per atom



[21]
Here is a relaxed structure of BaVH from Alexandria. Energies are from GGA-PBE.

The structure in POSCAR format:
```
BaVH
1.0
3.681 -5.502 0.000
3.681 5.502 0.000
-2.492 0.000 3.494
Ba V H
2 2 2
direct
0.172 0.828 0.000 Ba
0.828 0.172 0.000 Ba
0.522 0.522 0.308 V
0.522 0.522 0.740 V
0.588 0.800 0.195 H
0.800 0.588 0.195 H
```

Computed properties:
- DOS(E_F): 0.9 states/eV/f.u.
- Excess energy over the best structure of this formula in the dataset: 0.24 eV per formula unit
- Calculated volume: 23.58 Å³ per atom



[22]
Here is a relaxed structure of Be4Ir from Alexandria. Energies are from GGA-PBE.

The structure in POSCAR format:
```
Be4Ir
1.0
-2.567 2.567 2.567
2.567 -2.567 2.567
2.567 2.567 -2.567
Be Ir
4 1
direct
0.000 0.000 0.500 Be
0.000 0.500 0.000 Be
0.500 0.000 0.000 Be
0.500 0.500 0.500 Be
0.000 0.000 0.000 Ir
```

Computed properties:
- DOS(E_F): 4.3 states/eV/f.u.
- Excess energy over the best structure of this formula in the dataset: 2.60 eV per formula unit
- Formation energy from the elements: 152.6 meV per atom
- Calculated volume: 13.53 Å³ per atom



[23]
Here is a relaxed structure of NbRh from Alexandria. Energies are from GGA-PBE.

The structure in POSCAR format:
```
NbRh
1.0
2.797 0.000 0.000
0.000 4.618 0.000
0.000 0.000 5.060
Nb Rh
2 2
direct
0.250 0.250 0.133 Nb
0.750 0.750 0.867 Nb
0.250 0.750 0.382 Rh
0.750 0.250 0.618 Rh
```

Computed properties:
- DOS(E_F): 1.3 states/eV/f.u.
- Formation energy from the elements: -239.7 meV per atom
- Calculated volume: 16.34 Å³ per atom



[24]
Here is a relaxed structure of LaSm2In3 from Alexandria. Energies are from GGA-PBE.

The structure in POSCAR format:
```
LaSm2In3
1.0
5.479 0.000 0.000
-2.739 4.745 0.000
0.000 0.000 6.722
La Sm In
1 2 3
direct
0.000 0.000 0.000 La
0.333 0.667 0.660 Sm
0.667 0.333 0.340 Sm
0.000 0.000 0.500 In
0.333 0.667 0.167 In
0.667 0.333 0.833 In
```

Computed properties:
- DOS(E_F): 3.6 states/eV/f.u.
- Excess energy over the best structure of this formula in the dataset: 0.04 eV per formula unit
- Formation energy from the elements: -493.6 meV per atom
- Calculated volume: 29.12 Å³ per atom